(1)
This record from Alexandria via LeMat-Bulk describes a geometry-optimized NdAsS4 structure. The functional is PBE.

## Properties
Total magnetization = 0.000 μB/f.u.
Formation energy from raw total energies = -0.817 eV/atom

abc: 5.865 9.052 6.005
angles: 90.00 101.19 90.00
Space group P2_1/m (No. 11)
Unique sites:
Nd: 0.130 0.250 0.177
As: 0.386 0.750 0.330
S: 0.201 0.568 0.120
S: 0.243 0.250 0.672
S: 0.353 0.750 0.683

***

(2)
This record from Alexandria via LeMat-Bulk describes a geometry-optimized Nd4AsS3 structure. The functional is PBE.

## Properties
Total magnetization = 0.000 μB/f.u.
Formation energy from raw total energies = -1.917 eV/atom

abc: 5.831 5.831 5.831
angles: 90.00 90.00 90.00
Space group Pm-3m (No. 221)
Unique sites:
Nd: 0.000 0.000 0.000
Nd: 0.000 0.500 0.500
As: 0.500 0.500 0.500
S: 0.000 0.000 0.500

***

(3)
This record from Alexandria via LeMat-Bulk describes a geometry-optimized NdAsS structure. The functional is PBE.

## Properties
Total magnetization = 0.000 μB/f.u.
Formation energy from raw total energies = -1.536 eV/atom

abc: 3.930 3.930 17.687
angles: 90.00 90.00 90.00
Space group I4/mmm (No. 139)
Unique sites:
Nd: 0.000 0.000 0.146
As: 0.000 0.500 0.000
S: 0.000 0.000 0.313

***

(4)
This record from Alexandria via LeMat-Bulk describes a geometry-optimized Nd4AsS2 structure. The functional is PBE.

## Properties
Total magnetization = 0.003 μB/f.u.
Formation energy from raw total energies = -1.553 eV/atom

abc: 4.072 13.386 13.618
angles: 90.00 90.00 90.00
Space group Cmcm (No. 63)
Unique sites:
Nd: 0.000 0.000 0.000
Nd: 0.000 0.275 0.121
Nd: 0.000 0.446 0.750
As: 0.000 0.107 0.750
S: 0.000 0.363 0.563